1.
Computed, not measured: crystalline K2SrHgH at its relaxed geometry at the GGA-PBE level of DFT.

The calculation puts the total energy at -1.65 eV/atom. For the volume, the calculation gives 31.8 A^3/atom. The spin magnetization is 0.0 μB/f.u. The calculated density is 3.83 g/cm3.

It has space group P4/mmm (No. 123), with a = 5.351 Å, b = 5.351 Å, c = 5.557 Å, α = 90.00°, β = 90.00° and γ = 90.00°. The inequivalent atoms are K at (0.000, 0.500, 0.000), Sr at (0.000, 0.000, 0.500), Hg at (0.500, 0.500, 0.500) and H at (0.000, 0.000, 0.000).



2.
Computed, not measured: crystalline K2Hg2TeH2 at its relaxed geometry at the GGA-PBE level of DFT.

The calculation puts the total energy at -2.06 eV/atom. For the volume, the calculation gives 30.3 A^3/atom. The spin magnetization is 0.0 μB/f.u. The calculated density is 4.77 g/cm3.

It has space group C2/m (No. 12), with a = 10.051 Å, b = 5.569 Å, c = 7.740 Å, α = 90.00°, β = 101.90° and γ = 90.00°. The inequivalent atoms are K at (0.202, 0.000, 0.166), Hg at (0.106, 0.500, 0.419), Te at (0.000, 0.500, 0.000) and H at (0.223, 0.000, 0.598).



3.
Computed, not measured: crystalline K2HgTe2H at its relaxed geometry at the GGA-PBE level of DFT.

The calculation puts the total energy at -2.34 eV/atom. For the volume, the calculation gives 32.6 A^3/atom. The spin magnetization is 0.0 μB/f.u. The calculated density is 4.54 g/cm3.

It has space group Ibam (No. 72), with a = 7.931 Å, b = 13.725 Å, c = 7.190 Å, α = 90.00°, β = 90.00° and γ = 90.00°. The inequivalent atoms are K at (0.155, 0.127, 0.000), Hg at (0.000, 0.500, 0.250), Te at (0.211, 0.387, 0.000) and H at (0.000, 0.000, 0.250).